Compound: CaV2O4
Source: the Alexandria database
Functional: GGA+U
Structure: optimized geometry

Properties
Volume = 12.5 Å³/atom
Total magnetization = 8.0 μB/cell
Polymorph energy (0 for the lowest one) = 147 meV/atom

Structure (CIF):
```
data_CaV2O4
_chemical_formula_sum 'Ca2 V4 O8'
_cell_length_a 6.276
_cell_length_b 6.276
_cell_length_c 6.276
_cell_angle_alpha 120.03
_cell_angle_beta 119.70
_cell_angle_gamma 90.23
_symmetry_space_group_name_H-M 'P 1'
_symmetry_Int_Tables_number 1
_symmetry_space_group_name_Hall 'P 1'
loop_
_atom_site_label
_atom_site_fract_x
_atom_site_fract_y
_atom_site_fract_z
Ca1 0.500 0.000 0.000
Ca2 0.500 0.500 0.500
V1 0.000 0.000 0.000
V2 0.115 0.365 0.750
V3 0.500 0.000 0.500
V4 0.885 0.635 0.250
O1 0.218 0.228 0.990
O2 0.241 0.224 0.483
O3 0.241 0.758 0.017
O4 0.262 0.772 0.490
O5 0.738 0.228 0.510
O6 0.759 0.242 0.983
O7 0.759 0.776 0.517
O8 0.782 0.772 0.010
```